Below is a PBEsol-optimized structure of CrIr2Cl, with properties calculated at the meta-GGA SCAN level.

abc: 2.7444 4.5436 4.6062
angles: 90.00 90.00 90.00
Fractional coordinates of all 4 atoms:
1 Cr 0.0000 0.0000 0.0000
2 Ir 0.0000 0.5000 0.5000
3 Ir 0.5000 0.5000 0.0000
4 Cl 0.5000 0.0000 0.5000

Crystal system = orthorhombic
SG = No. 47
Energy = -41.6016 eV/atom



Below is a PBEsol-optimized structure of CrIrSCl2, with properties calculated at the meta-GGA SCAN level.

abc: 4.9296 4.9296 4.3790
angles: 90.00 90.00 90.00
Fractional coordinates of all 5 atoms:
1 Cr 0.0000 0.0000 0.0000
2 Ir 0.5000 0.5000 0.5000
3 S 0.5000 0.5000 0.0000
4 Cl 0.0000 0.5000 0.5000
5 Cl 0.5000 0.0000 0.5000

Crystal system = tetragonal
SG = No. 123
Energy = -22.8391 eV/atom



Below is a PBEsol-optimized structure of K2CrCl, with properties calculated at the meta-GGA SCAN level.

abc: 3.9247 3.9247 9.9897
angles: 90.00 90.00 90.00
Fractional coordinates of all 4 atoms:
1 K 0.0000 0.0000 0.0000
2 K 0.5000 0.5000 0.4165
3 Cr 0.5000 0.5000 0.7715
4 Cl 0.0000 0.0000 0.2981

Crystal system = tetragonal
SG = No. 99
Energy = -11.2073 eV/atom



Below is a PBEsol-optimized structure of KCrCl, with properties calculated at the meta-GGA SCAN level.

abc: 4.4066 4.4066 5.1686
angles: 90.00 90.00 120.00
Fractional coordinates of all 3 atoms:
1 K 0.0000 0.0000 0.0000
2 Cr 0.6667 0.3333 0.5000
3 Cl 0.3333 0.6667 0.5000

Crystal system = hexagonal
SG = No. 187
Energy = -11.8845 eV/atom



Below is a PBEsol-optimized structure of K2CrCl, with properties calculated at the meta-GGA SCAN level.

abc: 7.3402 7.3402 7.3402
angles: 143.27 143.27 52.92
Fractional coordinates of all 4 atoms:
1 K 0.0000 0.0000 0.0000
2 K 0.7500 0.2500 0.5000
3 Cr 0.2500 0.7500 0.5000
4 Cl 0.5000 0.5000 0.0000

Crystal system = tetragonal
SG = No. 119
Energy = -11.0667 eV/atom



Below is a PBEsol-optimized structure of KCrCl3, with properties calculated at the meta-GGA SCAN level.

abc: 6.8552 6.8552 6.8552
angles: 60.35 60.35 60.35
Fractional coordinates of all 10 atoms:
1 K 0.0000 0.0000 0.0000
2 K 0.5000 0.5000 0.5000
3 Cr 0.2503 0.2503 0.2503
4 Cr 0.7503 0.7503 0.7503
5 Cl 0.0006 0.4646 0.5360
6 Cl 0.0360 0.9646 0.5006
7 Cl 0.4646 0.5360 0.0006
8 Cl 0.5006 0.0360 0.9646
9 Cl 0.5360 0.0006 0.4646
10 Cl 0.9646 0.5006 0.0360

Crystal system = trigonal
SG = No. 161
Energy = -11.8441 eV/atom



Below is a PBEsol-optimized structure of KCrCl3, with properties calculated at the meta-GGA SCAN level.

abc: 4.8684 4.8684 4.8684
angles: 90.00 90.00 90.00
Fractional coordinates of all 5 atoms:
1 K 0.0000 0.0000 0.0000
2 Cr 0.5000 0.5000 0.5000
3 Cl 0.0000 0.5000 0.5000
4 Cl 0.5000 0.0000 0.5000
5 Cl 0.5000 0.5000 0.0000

Crystal system = cubic
SG = No. 221
Energy = -11.8422 eV/atom



Below is a PBEsol-optimized structure of KCrCl, with properties calculated at the meta-GGA SCAN level.

abc: 5.1475 5.1475 5.1475
angles: 60.00 60.00 60.00
Fractional coordinates of all 3 atoms:
1 K 0.0000 0.0000 0.0000
2 Cr 0.7500 0.7500 0.7500
3 Cl 0.5000 0.5000 0.5000

Crystal system = cubic
SG = No. 216
Energy = -11.7468 eV/atom



Below is a PBEsol-optimized structure of KCr2OsCl, with properties calculated at the meta-GGA SCAN level.

abc: 4.5731 4.5731 6.6258
angles: 90.00 90.00 90.00
Fractional coordinates of all 5 atoms:
1 K 0.0000 0.0000 0.0000
2 Cr 0.0000 0.5000 0.5000
3 Cr 0.5000 0.0000 0.5000
4 Os 0.0000 0.0000 0.5000
5 Cl 0.5000 0.5000 0.0000

Crystal system = tetragonal
SG = No. 123
Energy = -24.4390 eV/atom



Below is a PBEsol-optimized structure of KTl2CrCl, with properties calculated at the meta-GGA SCAN level.

abc: 6.2408 6.2408 5.5834
angles: 90.00 90.00 90.00
Fractional coordinates of all 5 atoms:
1 K 0.0000 0.0000 0.0000
2 Tl 0.0000 0.5000 0.0000
3 Tl 0.5000 0.0000 0.0000
4 Cr 0.0000 0.0000 0.5000
5 Cl 0.5000 0.5000 0.5000

Crystal system = tetragonal
SG = No. 123
Energy = -35.1421 eV/atom



Below is a PBEsol-optimized structure of LaCr2Cl, with properties calculated at the meta-GGA SCAN level.

abc: 4.8922 4.8922 4.8922
angles: 128.70 109.38 92.46
Fractional coordinates of all 4 atoms:
1 La 0.0000 0.0000 0.0000
2 Cr 0.4974 0.4974 0.0000
3 Cr 0.6874 0.1874 0.5000
4 Cl 0.3189 0.8189 0.5000

Crystal system = orthorhombic
SG = No. 44
Energy = -22.1333 eV/atom



Below is a PBEsol-optimized structure of LaCr2Cl, with properties calculated at the meta-GGA SCAN level.

abc: 3.4262 4.6259 4.9582
angles: 90.00 90.00 90.00
Fractional coordinates of all 4 atoms:
1 La 0.0000 0.0000 0.0000
2 Cr 0.5000 0.1991 0.5000
3 Cr 0.5000 0.8009 0.5000
4 Cl 0.5000 0.5000 0.0000

Crystal system = orthorhombic
SG = No. 47
Energy = -21.6831 eV/atom